Record 1
AlRuW2 (PBE-GGA, relaxed); ΔE_f = 2.7 eV per formula unit; space-group type = I-42d, No. 122
1.0
-3.621 3.621 2.596
3.621 -3.621 2.596
3.621 3.621 -2.596
Al Ru W
2 2 4
Direct
0.000 0.000 0.000
0.750 0.250 0.500
0.250 0.750 0.500
0.500 0.500 0.000
0.155 0.625 0.030
0.375 0.405 0.530
0.595 0.125 0.970
0.875 0.845 0.470

Record 2
MgCr3Br (PBE-GGA, relaxed); space-group type = Pm-3m, No. 221; formation energy without anion corrections = 1.467 eV per atom; distance to the lowest polymorph of the same formula = 18.3 kJ per mole of atoms
1.0
5.172 0.000 0.000
0.000 5.172 0.000
0.000 0.000 5.172
Mg Cr Br
1 3 1
Direct
0.000 0.000 0.000
0.000 0.000 0.500
0.000 0.500 0.000
0.500 0.000 0.000
0.500 0.500 0.500

Record 3
Nb12TlTe12As4 (PBE-GGA, relaxed); space-group type = Cm, No. 8; formation energy without anion corrections = -0.538 eV per atom
1.0
10.532 -3.590 0.000
10.532 3.590 0.000
-5.267 0.000 9.124
Nb Tl Te As
12 1 12 4
Direct
0.000 0.000 0.000
0.003 0.504 0.132
0.062 0.559 0.499
0.316 0.316 0.751
0.376 0.878 0.245
0.377 0.377 0.125
0.501 0.501 0.001
0.504 0.003 0.132
0.559 0.062 0.499
0.814 0.814 0.753
0.875 0.875 0.121
0.878 0.376 0.245
0.064 0.064 0.626
0.037 0.037 0.290
0.149 0.651 0.350
0.232 0.232 0.909
0.340 0.840 0.953
0.424 0.424 0.676
0.450 0.953 0.573
0.538 0.538 0.294
0.651 0.149 0.350
0.729 0.729 0.904
0.840 0.340 0.953
0.922 0.922 0.678
0.953 0.450 0.573
0.147 0.647 0.959
0.230 0.230 0.291
0.647 0.147 0.959
0.730 0.730 0.293

Record 4
Sr3Li2NpO8 (PBE-GGA, relaxed); space-group type = P-3m1, No. 164; formation energy without anion corrections = -2.364 eV per atom
1.0
5.729 0.000 0.000
-2.865 4.962 0.000
0.000 0.000 7.402
Sr Li Np O
3 2 1 8
Direct
0.000 0.000 0.000
0.333 0.667 0.651
0.667 0.333 0.349
0.333 0.667 0.207
0.667 0.333 0.793
0.000 0.000 0.500
0.163 0.326 0.338
0.163 0.837 0.338
0.326 0.163 0.662
0.333 0.667 0.961
0.667 0.333 0.039
0.674 0.837 0.338
0.837 0.163 0.662
0.837 0.674 0.662

Number 1: N(E_F) 2.9 states/eV/f.u.. Number 2: N(E_F) 2.6 states/eV/f.u.. Number 3: N(E_F) 11.5 states/eV/f.u.. Number 4: N(E_F) 5.1 states/eV/f.u..